i) # NaB2IrRh (PBE, optimized geometry)
# Fermi-level density of states = 1.783 states/eV/f.u.
# Total magnetization = 0.0 μB per formula unit
data_NaB2IrRh
_cell_length_a 3.937
_cell_length_b 3.937
_cell_length_c 10.196
_cell_angle_alpha 90.00
_cell_angle_beta 90.00
_cell_angle_gamma 90.00
_space_group_name_H-M_alt 'I -4 m 2'
_space_group_IT_number 119
_space_group_name_Hall 'I -4 -2'
loop_
_atom_site_label
_atom_site_fract_x
_atom_site_fract_y
_atom_site_fract_z
Na1 0.000 0.000 0.000
B1 0.000 0.000 0.319
Ir1 0.000 0.500 0.750
Rh1 0.000 0.500 0.250

ii) # NaB2IrRh (PBE, optimized geometry)
# Fermi-level density of states = 3.339 states/eV/f.u.
# Total magnetization = 1.6 μB per formula unit
data_NaB2IrRh
_cell_length_a 4.074
_cell_length_b 4.074
_cell_length_c 5.121
_cell_angle_alpha 90.00
_cell_angle_beta 90.00
_cell_angle_gamma 90.00
_space_group_name_H-M_alt 'P 4/m m m'
_space_group_IT_number 123
_space_group_name_Hall '-P 4 2'
loop_
_atom_site_label
_atom_site_fract_x
_atom_site_fract_y
_atom_site_fract_z
Na1 0.000 0.000 0.000
B1 0.000 0.500 0.500
Ir1 0.500 0.500 0.500
Rh1 0.500 0.500 0.000

Which is the most stable structure? i) is the most stable.

i) # Nb3BIr (PBE, optimized geometry)
# Fermi-level density of states = 6.704 states/eV/f.u.
# Total magnetization = 0.0 μB per formula unit
data_Nb3BIr
_cell_length_a 4.826
_cell_length_b 4.826
_cell_length_c 4.826
_cell_angle_alpha 90.00
_cell_angle_beta 90.00
_cell_angle_gamma 90.00
_space_group_name_H-M_alt 'P m -3 m'
_space_group_IT_number 221
_space_group_name_Hall '-P 4 2 3'
loop_
_atom_site_label
_atom_site_fract_x
_atom_site_fract_y
_atom_site_fract_z
Nb1 0.000 0.000 0.500
B1 0.500 0.500 0.500
Ir1 0.000 0.000 0.000

ii) # Nb3BIr (PBE, optimized geometry)
# Fermi-level density of states = 6.003 states/eV/f.u.
# Total magnetization = 0.0 μB per formula unit
data_Nb3BIr
_cell_length_a 4.315
_cell_length_b 4.315
_cell_length_c 4.315
_cell_angle_alpha 90.00
_cell_angle_beta 90.00
_cell_angle_gamma 90.00
_space_group_name_H-M_alt 'P m -3 m'
_space_group_IT_number 221
_space_group_name_Hall '-P 4 2 3'
loop_
_atom_site_label
_atom_site_fract_x
_atom_site_fract_y
_atom_site_fract_z
Nb1 0.000 0.000 0.500
B1 0.000 0.000 0.000
Ir1 0.500 0.500 0.500

Which is the most stable structure? ii) is the most stable.

i) # NdB3Ir3 (PBE, optimized geometry)
# Fermi-level density of states = 1.671 states/eV/f.u.
# Total magnetization = 0.0 μB per formula unit
data_NdB3Ir3
_cell_length_a 5.915
_cell_length_b 5.915
_cell_length_c 5.915
_cell_angle_alpha 90.00
_cell_angle_beta 90.00
_cell_angle_gamma 90.00
_space_group_name_H-M_alt 'P m -3 n'
_space_group_IT_number 223
_space_group_name_Hall '-P 4n 2 3'
loop_
_atom_site_label
_atom_site_fract_x
_atom_site_fract_y
_atom_site_fract_z
Nd1 0.000 0.000 0.000
B1 0.000 0.250 0.500
Ir1 0.000 0.500 0.250

ii) # NdB3Ir3 (PBE, optimized geometry)
# Fermi-level density of states = 2.668 states/eV/f.u.
# Total magnetization = 0.0 μB per formula unit
data_NdB3Ir3
_cell_length_a 7.601
_cell_length_b 7.675
_cell_length_c 7.915
_cell_angle_alpha 71.70
_cell_angle_beta 72.10
_cell_angle_gamma 73.87
_space_group_name_H-M_alt 'P 1'
_space_group_IT_number 1
loop_
_space_group_symop_operation_xyz
'x,y,z'
loop_
_atom_site_label
_atom_site_fract_x
_atom_site_fract_y
_atom_site_fract_z
Nd1 0.000 0.000 0.000
Nd2 0.063 0.557 0.341
Nd3 0.508 0.160 0.314
Nd4 0.657 0.480 0.831
B1 0.031 0.860 0.641
B2 0.163 0.093 0.593
B3 0.253 0.611 0.952
B4 0.294 0.516 0.748
B5 0.365 0.995 0.139
B6 0.377 0.761 0.318
B7 0.432 0.268 0.736
B8 0.543 0.549 0.209
B9 0.655 0.707 0.472
B10 0.801 0.894 0.803
B11 0.863 0.117 0.362
B12 0.981 0.360 0.953
Ir1 0.006 0.645 0.875
Ir2 0.138 0.335 0.697
Ir3 0.150 0.993 0.373
Ir4 0.237 0.308 0.032
Ir5 0.390 0.749 0.035
Ir6 0.400 0.014 0.700
Ir7 0.504 0.504 0.503
Ir8 0.587 0.076 0.927
Ir9 0.683 0.760 0.195
Ir10 0.780 0.871 0.539
Ir11 0.817 0.381 0.201
Ir12 0.870 0.173 0.609

iii) # NdB3Ir3 (PBE, optimized geometry)
# Fermi-level density of states = 3.743 states/eV/f.u.
# Total magnetization = 0.0 μB per formula unit
data_NdB3Ir3
_cell_length_a 6.1888
_cell_length_b 6.1888
_cell_length_c 20.2368
_cell_angle_alpha 90.00
_cell_angle_beta 90.00
_cell_angle_gamma 120.00
_space_group_name_H-M_alt 'R -3'
_space_group_IT_number 148
_space_group_name_Hall '-R 3'
loop_
_atom_site_label
_atom_site_fract_x
_atom_site_fract_y
_atom_site_fract_z
Nd1 0.0000 0.0000 0.1673
B1 0.0077 0.3505 0.3963
Ir1 0.0065 0.3227 0.6177

Which is the most stable structure? i) is the most stable.

i) # NdBIr (PBE, optimized geometry)
# Fermi-level density of states = 3.658 states/eV/f.u.
# Total magnetization = 0.0 μB per formula unit
data_NdBIr
_cell_length_a 5.951
_cell_length_b 5.951
_cell_length_c 5.951
_cell_angle_alpha 90.00
_cell_angle_beta 90.00
_cell_angle_gamma 90.00
_space_group_name_H-M_alt 'P 21 3'
_space_group_IT_number 198
_space_group_name_Hall 'P 2ac 2ab 3'
loop_
_atom_site_label
_atom_site_fract_x
_atom_site_fract_y
_atom_site_fract_z
Nd1 0.138 0.138 0.138
B1 0.085 0.585 0.915
Ir1 0.162 0.338 0.662

ii) # NdBIr (PBE, optimized geometry)
# Fermi-level density of states = 1.651 states/eV/f.u.
# Total magnetization = 0.0 μB per formula unit
data_NdBIr
_cell_length_a 5.432
_cell_length_b 8.689
_cell_length_c 4.727
_cell_angle_alpha 90.00
_cell_angle_beta 90.00
_cell_angle_gamma 90.00
_space_group_name_H-M_alt 'I m m a'
_space_group_IT_number 74
_space_group_name_Hall '-I 2b 2'
loop_
_atom_site_label
_atom_site_fract_x
_atom_site_fract_y
_atom_site_fract_z
Nd1 0.000 0.000 0.000
B1 0.250 0.250 0.250
Ir1 0.000 0.250 0.551

Which is the most stable structure? i) is the most stable.

i) # NiBIr3 (PBE, optimized geometry)
# Fermi-level density of states = 7.569 states/eV/f.u.
# Total magnetization = 2.3 μB per formula unit
data_NiBIr3
_cell_length_a 4.432
_cell_length_b 4.432
_cell_length_c 4.432
_cell_angle_alpha 90.00
_cell_angle_beta 90.00
_cell_angle_gamma 90.00
_space_group_name_H-M_alt 'P m -3 m'
_space_group_IT_number 221
_space_group_name_Hall '-P 4 2 3'
loop_
_atom_site_label
_atom_site_fract_x
_atom_site_fract_y
_atom_site_fract_z
Ni1 0.000 0.000 0.000
B1 0.500 0.500 0.500
Ir1 0.000 0.000 0.500

ii) # NiBIr3 (PBE, optimized geometry)
# Fermi-level density of states = 4.495 states/eV/f.u.
# Total magnetization = 1.9 μB per formula unit
data_NiBIr3
_cell_length_a 4.067
_cell_length_b 4.067
_cell_length_c 4.067
_cell_angle_alpha 90.00
_cell_angle_beta 90.00
_cell_angle_gamma 90.00
_space_group_name_H-M_alt 'P m -3 m'
_space_group_IT_number 221
_space_group_name_Hall '-P 4 2 3'
loop_
_atom_site_label
_atom_site_fract_x
_atom_site_fract_y
_atom_site_fract_z
Ni1 0.000 0.000 0.000
B1 0.500 0.500 0.500
Ir1 0.000 0.500 0.500

Which is the most stable structure? ii) is the most stable.

i) # NiB3Ir (PBE, optimized geometry)
# Fermi-level density of states = 4.046 states/eV/f.u.
# Total magnetization = 0.0 μB per formula unit
data_NiB3Ir
_cell_length_a 4.037
_cell_length_b 4.037
_cell_length_c 4.037
_cell_angle_alpha 90.00
_cell_angle_beta 90.00
_cell_angle_gamma 90.00
_space_group_name_H-M_alt 'P m -3 m'
_space_group_IT_number 221
_space_group_name_Hall '-P 4 2 3'
loop_
_atom_site_label
_atom_site_fract_x
_atom_site_fract_y
_atom_site_fract_z
Ni1 0.000 0.000 0.000
B1 0.000 0.500 0.500
Ir1 0.500 0.500 0.500

ii) # NiB3Ir (PBE, optimized geometry)
# Fermi-level density of states = 2.399 states/eV/f.u.
# Total magnetization = 0.0 μB per formula unit
data_NiB3Ir
_cell_length_a 3.720
_cell_length_b 3.720
_cell_length_c 3.720
_cell_angle_alpha 90.00
_cell_angle_beta 90.00
_cell_angle_gamma 90.00
_space_group_name_H-M_alt 'P m -3 m'
_space_group_IT_number 221
_space_group_name_Hall '-P 4 2 3'
loop_
_atom_site_label
_atom_site_fract_x
_atom_site_fract_y
_atom_site_fract_z
Ni1 0.000 0.000 0.000
B1 0.000 0.000 0.500
Ir1 0.500 0.500 0.500

Which is the most stable structure? i) is the most stable.